# Al2FeP (PBE, optimized geometry)
# Total energy = -5.305 eV per atom
# Formation enthalpy at 0 K = 0.034 eV per atom
# Space-group type = I-4m2, No. 119
# Calculated density = 4.43 g/cm3
data_Al2FeP
_cell_length_a 4.656
_cell_length_b 4.656
_cell_length_c 4.656
_cell_angle_alpha 133.14
_cell_angle_beta 133.14
_cell_angle_gamma 68.44
_symmetry_space_group_name_H-M 'P 1'
_symmetry_Int_Tables_number 1
loop_
_symmetry_equiv_pos_as_xyz
'x,y,z'
loop_
_atom_site_label
_atom_site_type_symbol
_atom_site_fract_x
_atom_site_fract_y
_atom_site_fract_z
Al1 Al 0.000 0.000 0.000
Al2 Al 0.250 0.750 0.500
P1 P 0.750 0.250 0.500
Fe1 Fe 0.500 0.500 0.000

---

# RbErCdCl6 (PBE, optimized geometry)
# Formation energy (no corrections) = -1.8506 eV per atom
# Total energy = -3.798 eV per atom
# Space-group type = P-31c, No. 163
# Calculated density = 3.17 g/cm3
data_RbErCdCl6
_cell_length_a 6.938
_cell_length_b 6.938
_cell_length_c 14.542
_cell_angle_alpha 90.00
_cell_angle_beta 90.00
_cell_angle_gamma 120.00
_symmetry_space_group_name_H-M 'P 1'
_symmetry_Int_Tables_number 1
loop_
_symmetry_equiv_pos_as_xyz
'x,y,z'
loop_
_atom_site_label
_atom_site_type_symbol
_atom_site_fract_x
_atom_site_fract_y
_atom_site_fract_z
Cl1 Cl 0.375 0.379 0.855
Cl2 Cl 0.379 0.375 0.355
Cl3 Cl 0.004 0.379 0.645
Cl4 Cl 0.375 0.996 0.645
Cl5 Cl 0.625 0.004 0.355
Cl6 Cl 0.004 0.625 0.855
Cl7 Cl 0.996 0.621 0.355
Cl8 Cl 0.621 0.625 0.645
Cl9 Cl 0.996 0.375 0.145
Cl10 Cl 0.621 0.996 0.855
Cl11 Cl 0.625 0.621 0.145
Cl12 Cl 0.379 0.004 0.145
Er1 Er 0.667 0.333 0.250
Er2 Er 0.333 0.667 0.750
Rb1 Rb 0.000 0.000 0.000
Rb2 Rb 0.000 0.000 0.500
Cd1 Cd 0.667 0.333 0.750
Cd2 Cd 0.333 0.667 0.250

---

# Si2Se (PBE, optimized geometry)
# Formation energy (no corrections) = -0.0729 eV per atom
# Total energy = -4.850 eV per atom
# Space-group type = P1, No. 1
# Energy relative to the lowest polymorph listed for this composition = 0.096 eV per atom
# Calculated density = 3.12 g/cm3
data_Si2Se
_cell_length_a 3.959
_cell_length_b 5.783
_cell_length_c 7.044
_cell_angle_alpha 94.79
_cell_angle_beta 105.04
_cell_angle_gamma 109.82
_symmetry_space_group_name_H-M 'P 1'
_symmetry_Int_Tables_number 1
loop_
_symmetry_equiv_pos_as_xyz
'x,y,z'
loop_
_atom_site_label
_atom_site_type_symbol
_atom_site_fract_x
_atom_site_fract_y
_atom_site_fract_z
Si1 Si 0.874 0.737 0.071
Si2 Si 0.515 0.848 0.265
Si3 Si 0.931 0.049 0.861
Si4 Si 0.599 0.289 0.968
Se1 Se 0.560 0.741 0.580
Se2 Se 0.695 0.276 0.310

---

# Rb4Cd4Sn (PBE, optimized geometry)
# Total energy = -1.304 eV per atom
# Formation enthalpy at 0 K = -0.023 eV per atom
# Space-group type = P4_2/n, No. 86
# Calculated density = 3.83 g/cm3
data_Rb4Cd4Sn
_cell_length_a 6.926
_cell_length_b 10.681
_cell_length_c 10.681
_cell_angle_alpha 90.00
_cell_angle_beta 90.00
_cell_angle_gamma 90.00
_symmetry_space_group_name_H-M 'P 1'
_symmetry_Int_Tables_number 1
loop_
_symmetry_equiv_pos_as_xyz
'x,y,z'
loop_
_atom_site_label
_atom_site_type_symbol
_atom_site_fract_x
_atom_site_fract_y
_atom_site_fract_z
Rb1 Rb 0.869 0.686 0.910
Rb2 Rb 0.131 0.090 0.686
Rb3 Rb 0.369 0.410 0.814
Rb4 Rb 0.131 0.910 0.314
Rb5 Rb 0.631 0.814 0.590
Rb6 Rb 0.631 0.186 0.410
Rb7 Rb 0.869 0.314 0.090
Rb8 Rb 0.369 0.590 0.186
Cd1 Cd 0.356 0.852 0.931
Cd2 Cd 0.144 0.352 0.431
Cd3 Cd 0.644 0.931 0.148
Cd4 Cd 0.856 0.569 0.352
Cd5 Cd 0.644 0.069 0.852
Cd6 Cd 0.144 0.648 0.569
Cd7 Cd 0.856 0.431 0.648
Cd8 Cd 0.356 0.148 0.069
Sn1 Sn 0.500 0.500 0.500
Sn2 Sn 0.000 0.000 0.000

---

# NiIrPt2 (PBE, optimized geometry)
# Total energy = -6.663 eV per atom
# Formation enthalpy at 0 K = 0.018 eV per atom
# Space-group type = Pmmm, No. 47
# Energy relative to the lowest polymorph listed for this composition = 0.043 eV per atom
# Calculated density = 18.55 g/cm3
data_NiIrPt2
_cell_length_a 2.756
_cell_length_b 3.819
_cell_length_c 5.452
_cell_angle_alpha 90.00
_cell_angle_beta 90.00
_cell_angle_gamma 90.00
_symmetry_space_group_name_H-M 'P 1'
_symmetry_Int_Tables_number 1
loop_
_symmetry_equiv_pos_as_xyz
'x,y,z'
loop_
_atom_site_label
_atom_site_type_symbol
_atom_site_fract_x
_atom_site_fract_y
_atom_site_fract_z
Ir1 Ir 0.500 0.500 0.250
Pt1 Pt 0.000 0.000 0.996
Pt2 Pt 0.000 0.000 0.504
Ni1 Ni 0.500 0.500 0.750

---

# ReP4 (PBE, optimized geometry)
# Total energy = -7.139 eV per atom
# Formation enthalpy at 0 K = -0.322 eV per atom
# Space-group type = Pbca, No. 61
# Energy relative to the lowest polymorph listed for this composition = 0.000 eV per atom
# Calculated density = 6.47 g/cm3
data_ReP4
_cell_length_a 6.267
_cell_length_b 9.290
_cell_length_c 10.930
_cell_angle_alpha 90.00
_cell_angle_beta 90.00
_cell_angle_gamma 90.00
_symmetry_space_group_name_H-M 'P 1'
_symmetry_Int_Tables_number 1
loop_
_symmetry_equiv_pos_as_xyz
'x,y,z'
loop_
_atom_site_label
_atom_site_type_symbol
_atom_site_fract_x
_atom_site_fract_y
_atom_site_fract_z
P1 P 0.438 0.782 0.236
P2 P 0.755 0.456 0.582
P3 P 0.501 0.709 0.431
P4 P 0.312 0.448 0.238
P5 P 0.062 0.218 0.736
P6 P 0.999 0.291 0.931
P7 P 0.938 0.718 0.764
P8 P 0.999 0.209 0.431
P9 P 0.245 0.956 0.918
P10 P 0.255 0.044 0.418
P11 P 0.812 0.448 0.262
P12 P 0.688 0.552 0.762
P13 P 0.499 0.209 0.069
P14 P 0.562 0.282 0.264
P15 P 0.501 0.791 0.931
P16 P 0.938 0.782 0.264
P17 P 0.745 0.544 0.082
P18 P 0.312 0.052 0.738
P19 P 0.438 0.718 0.736
P20 P 0.755 0.044 0.082
P21 P 0.255 0.456 0.918
P22 P 0.188 0.948 0.238
P23 P 0.001 0.709 0.069
P24 P 0.562 0.218 0.764
P25 P 0.499 0.291 0.569
P26 P 0.688 0.948 0.262
P27 P 0.001 0.791 0.569
P28 P 0.812 0.052 0.762
P29 P 0.188 0.552 0.738
P30 P 0.245 0.544 0.418
P31 P 0.745 0.956 0.582
P32 P 0.062 0.282 0.236
Re1 Re 0.378 0.610 0.075
Re2 Re 0.622 0.110 0.425
Re3 Re 0.878 0.890 0.925
Re4 Re 0.378 0.890 0.575
Re5 Re 0.122 0.110 0.075
Re6 Re 0.622 0.390 0.925
Re7 Re 0.878 0.610 0.425
Re8 Re 0.122 0.390 0.575

---

# NaCu2AgF6 (PBE, optimized geometry)
# Formation energy (no corrections) = -1.6534 eV per atom
# Total energy = -4.012 eV per atom
# Space-group type = C2/c, No. 15
# Calculated density = 4.43 g/cm3
data_NaCu2AgF6
_cell_length_a 5.478
_cell_length_b 7.217
_cell_length_c 7.217
_cell_angle_alpha 77.51
_cell_angle_beta 89.73
_cell_angle_gamma 89.73
_symmetry_space_group_name_H-M 'P 1'
_symmetry_Int_Tables_number 1
loop_
_symmetry_equiv_pos_as_xyz
'x,y,z'
loop_
_atom_site_label
_atom_site_type_symbol
_atom_site_fract_x
_atom_site_fract_y
_atom_site_fract_z
Na1 Na 0.750 0.104 0.896
Na2 Na 0.250 0.896 0.104
F1 F 0.023 0.615 0.110
F2 F 0.589 0.801 0.968
F3 F 0.477 0.890 0.385
F4 F 0.941 0.282 0.432
F5 F 0.089 0.968 0.801
F6 F 0.411 0.199 0.032
F7 F 0.559 0.568 0.718
F8 F 0.911 0.032 0.199
F9 F 0.059 0.718 0.568
F10 F 0.441 0.432 0.282
F11 F 0.977 0.385 0.890
F12 F 0.523 0.110 0.615
Cu1 Cu 0.721 0.093 0.393
Cu2 Cu 0.221 0.393 0.093
Cu3 Cu 0.779 0.607 0.907
Cu4 Cu 0.279 0.907 0.607
Ag1 Ag 0.250 0.394 0.606
Ag2 Ag 0.750 0.606 0.394

---

# Sr2MgRhC (PBE, optimized geometry)
# Total energy = -2.892 eV per atom
# Formation enthalpy at 0 K = 1.415 eV per atom
# Space-group type = P4/mmm, No. 123
# Energy relative to the lowest polymorph listed for this composition = 1.444 eV per atom
# Calculated density = 3.15 g/cm3
data_Sr2MgRhC
_cell_length_a 6.060
_cell_length_b 4.522
_cell_length_c 6.060
_cell_angle_alpha 90.00
_cell_angle_beta 90.00
_cell_angle_gamma 90.00
_symmetry_space_group_name_H-M 'P 1'
_symmetry_Int_Tables_number 1
loop_
_symmetry_equiv_pos_as_xyz
'x,y,z'
loop_
_atom_site_label
_atom_site_type_symbol
_atom_site_fract_x
_atom_site_fract_y
_atom_site_fract_z
Rh1 Rh 0.000 0.500 0.000
Sr1 Sr 0.000 0.000 0.500
Sr2 Sr 0.500 0.000 0.000
Mg1 Mg 0.000 0.000 0.000
C1 C 0.500 0.500 0.500

---

# Ba2ErIn12Ir3 (PBE, optimized geometry)
# Total energy = -3.784 eV per atom
# Formation enthalpy at 0 K = -0.014 eV per atom
# Space-group type = R-3m, No. 166
# Calculated density = 6.69 g/cm3
data_Ba2ErIn12Ir3
_cell_length_a 8.926
_cell_length_b 8.926
_cell_length_c 8.926
_cell_angle_alpha 68.71
_cell_angle_beta 68.71
_cell_angle_gamma 68.71
_symmetry_space_group_name_H-M 'P 1'
_symmetry_Int_Tables_number 1
loop_
_symmetry_equiv_pos_as_xyz
'x,y,z'
loop_
_atom_site_label
_atom_site_type_symbol
_atom_site_fract_x
_atom_site_fract_y
_atom_site_fract_z
In1 In 0.613 0.139 0.139
In2 In 0.278 0.924 0.278
In3 In 0.387 0.861 0.861
In4 In 0.861 0.387 0.861
In5 In 0.861 0.861 0.387
In6 In 0.139 0.139 0.613
In7 In 0.722 0.722 0.076
In8 In 0.924 0.278 0.278
In9 In 0.722 0.076 0.722
In10 In 0.076 0.722 0.722
In11 In 0.278 0.278 0.924
In12 In 0.139 0.613 0.139
Ir1 Ir 0.500 0.000 0.000
Ir2 Ir 0.000 0.000 0.500
Ir3 Ir 0.000 0.500 0.000
Er1 Er 0.000 0.000 0.000
Ba1 Ba 0.596 0.596 0.596
Ba2 Ba 0.404 0.404 0.404

---

# AcPuInAg (PBE, optimized geometry)
# Total energy = -6.114 eV per atom
# Formation enthalpy at 0 K = -0.106 eV per atom
# Space-group type = F-43m, No. 216
# Calculated density = 9.63 g/cm3
data_AcPuInAg
_cell_length_a 5.530
_cell_length_b 5.530
_cell_length_c 5.530
_cell_angle_alpha 60.00
_cell_angle_beta 60.00
_cell_angle_gamma 60.00
_symmetry_space_group_name_H-M 'P 1'
_symmetry_Int_Tables_number 1
loop_
_symmetry_equiv_pos_as_xyz
'x,y,z'
loop_
_atom_site_label
_atom_site_type_symbol
_atom_site_fract_x
_atom_site_fract_y
_atom_site_fract_z
In1 In 0.750 0.750 0.750
Ac1 Ac 0.500 0.500 0.500
Pu1 Pu 0.000 0.000 0.000
Ag1 Ag 0.250 0.250 0.250

---

# Pr2ErUN4 (PBE, optimized geometry)
# Formation energy (no corrections) = -1.4838 eV per atom
# Total energy = -8.823 eV per atom
# Space-group type = P2/m, No. 10
# Calculated density = 9.83 g/cm3
data_Pr2ErUN4
_cell_length_a 3.542
_cell_length_b 6.029
_cell_length_c 6.210
_cell_angle_alpha 108.80
_cell_angle_beta 90.00
_cell_angle_gamma 90.00
_symmetry_space_group_name_H-M 'P 1'
_symmetry_Int_Tables_number 1
loop_
_symmetry_equiv_pos_as_xyz
'x,y,z'
loop_
_atom_site_label
_atom_site_type_symbol
_atom_site_fract_x
_atom_site_fract_y
_atom_site_fract_z
N1 N 0.000 0.760 0.210
N2 N 0.000 0.240 0.790
N3 N 0.500 0.223 0.206
N4 N 0.500 0.777 0.794
U1 U 0.000 0.000 0.000
Pr1 Pr 0.500 0.000 0.500
Pr2 Pr 0.000 0.500 0.500
Er1 Er 0.500 0.500 0.000

---

# NpNiBr2 (PBE, optimized geometry)
# Formation energy (no corrections) = 0.0632 eV per atom
# Total energy = -5.454 eV per atom
# Space-group type = R-3m, No. 166
# Calculated density = 7.84 g/cm3
data_NpNiBr2
_cell_length_a 3.557
_cell_length_b 3.557
_cell_length_c 9.041
_cell_angle_alpha 78.65
_cell_angle_beta 78.65
_cell_angle_gamma 60.00
_symmetry_space_group_name_H-M 'P 1'
_symmetry_Int_Tables_number 1
loop_
_symmetry_equiv_pos_as_xyz
'x,y,z'
loop_
_atom_site_label
_atom_site_type_symbol
_atom_site_fract_x
_atom_site_fract_y
_atom_site_fract_z
Br1 Br 0.110 0.110 0.671
Br2 Br 0.890 0.890 0.329
Ni1 Ni 0.500 0.500 0.500
Np1 Np 0.000 0.000 0.000

---

- Which of these has the lowest calculated density?
  Si2Se